## NaSbRh2Br (GGA-PBE)

Data for an optimized crystal structure of NaSbRh2Br.

- Calculated density: 4.894 g cm⁻³
- DOS(E_F): 7.46 states/eV per cell
- Space-group type: P4/mmm, No. 123
- Uncorrected energy: -4.0481 eV/atom
- ΔE_f (raw): 0.315 eV/atom

Geometry as CIF:
```
data_NaSbRh2Br
_space_group_name_H-M_alt 'P 1'
_space_group_IT_number 1
_cell_length_a 4.8986
_cell_length_b 6.0864
_cell_length_c 4.8986
_cell_angle_alpha 90.00
_cell_angle_beta 90.00
_cell_angle_gamma 90.00
loop_
_space_group_symop_operation_xyz
'x,y,z'
loop_
_atom_site_label
_atom_site_type_symbol
_atom_site_fract_x
_atom_site_fract_y
_atom_site_fract_z
Sb1 Sb 0.0000 0.0000 0.0000
Br1 Br 0.0000 0.5000 0.0000
Rh1 Rh 0.5000 0.0000 0.0000
Rh2 Rh 0.0000 0.0000 0.5000
Na1 Na 0.5000 0.5000 0.5000
```

=====

## ReMo2Rh (GGA-PBE)

Data for an optimized crystal structure of ReMo2Rh.

- Calculated density: 12.910 g cm⁻³
- DOS(E_F): 5.67 states/eV per cell
- Energy of formation from the pure elements: 175 meV per atom
- Space-group type: P4mm, No. 99
- Offset from the most stable computed form: 179 meV per atom
- Uncorrected energy: -10.1906 eV/atom

Geometry as CIF:
```
data_ReMo2Rh
_space_group_name_H-M_alt 'P 1'
_space_group_IT_number 1
_cell_length_a 3.2622
_cell_length_b 3.2622
_cell_length_c 5.8138
_cell_angle_alpha 90.00
_cell_angle_beta 90.00
_cell_angle_gamma 90.00
loop_
_space_group_symop_operation_xyz
'x,y,z'
loop_
_atom_site_label
_atom_site_type_symbol
_atom_site_fract_x
_atom_site_fract_y
_atom_site_fract_z
Re1 Re 0.0000 0.0000 0.4863
Mo1 Mo 0.5000 0.5000 0.2612
Mo2 Mo 0.0000 0.0000 0.9841
Rh1 Rh 0.5000 0.5000 0.7684
```

=====

## BaMgZr (GGA-PBE)

Data for an optimized crystal structure of BaMgZr.

- Calculated density: 4.449 g cm⁻³
- DOS(E_F): 8.21 states/eV per cell
- Energy of formation from the pure elements: 750 meV per atom
- Space-group type: P4/nmm, No. 129
- Offset from the most stable computed form: 519 meV per atom
- Uncorrected energy: -3.2715 eV/atom

Geometry as CIF:
```
data_BaMgZr
_space_group_name_H-M_alt 'P 1'
_space_group_IT_number 1
_cell_length_a 4.3678
_cell_length_b 4.3678
_cell_length_c 9.8936
_cell_angle_alpha 90.00
_cell_angle_beta 90.00
_cell_angle_gamma 90.00
loop_
_space_group_symop_operation_xyz
'x,y,z'
loop_
_atom_site_label
_atom_site_type_symbol
_atom_site_fract_x
_atom_site_fract_y
_atom_site_fract_z
Ba1 Ba 0.5000 0.5000 0.5000
Ba2 Ba 0.0000 0.0000 0.5000
Mg1 Mg 0.0000 0.5000 0.7884
Mg2 Mg 0.5000 0.0000 0.2116
Zr1 Zr 0.0000 0.5000 0.0767
Zr2 Zr 0.5000 0.0000 0.9233
```

=====

## Ni3HAu (GGA-PBE)

Data for an optimized crystal structure of Ni3HAu.

- Calculated density: 11.860 g cm⁻³
- DOS(E_F): 6.37 states/eV per cell
- Space-group type: Pm-3m, No. 221
- Offset from the most stable computed form: 0 meV per atom
- Uncorrected energy: -4.7631 eV/atom

Geometry as CIF:
```
data_Ni3HAu
_space_group_name_H-M_alt 'P 1'
_space_group_IT_number 1
_cell_length_a 3.7414
_cell_length_b 3.7414
_cell_length_c 3.7414
_cell_angle_alpha 90.00
_cell_angle_beta 90.00
_cell_angle_gamma 90.00
loop_
_space_group_symop_operation_xyz
'x,y,z'
loop_
_atom_site_label
_atom_site_type_symbol
_atom_site_fract_x
_atom_site_fract_y
_atom_site_fract_z
Au1 Au 0.5000 0.5000 0.5000
H1 H 0.0000 0.0000 0.0000
Ni1 Ni 0.5000 0.0000 0.0000
Ni2 Ni 0.0000 0.5000 0.0000
Ni3 Ni 0.0000 0.0000 0.5000
```

=====

## La5YN4 (GGA-PBE)

Data for an optimized crystal structure of La5YN4.

- Calculated density: 6.422 g cm⁻³
- DOS(E_F): 6.17 states/eV per cell
- Space-group type: C2/m, No. 12
- Uncorrected energy: -7.5540 eV/atom
- ΔE_f (raw): -1.114 eV/atom

Geometry as CIF:
```
data_La5YN4
_space_group_name_H-M_alt 'P 1'
_space_group_IT_number 1
_cell_length_a 3.6409
_cell_length_b 7.5830
_cell_length_c 8.2502
_cell_angle_alpha 102.00
_cell_angle_beta 102.75
_cell_angle_gamma 90.00
loop_
_space_group_symop_operation_xyz
'x,y,z'
loop_
_atom_site_label
_atom_site_type_symbol
_atom_site_fract_x
_atom_site_fract_y
_atom_site_fract_z
N1 N 0.6584 0.0745 0.3168
N2 N 0.3416 0.9255 0.6832
N3 N 0.0003 0.2344 0.0006
N4 N 0.9997 0.7656 0.9994
La1 La 0.8381 0.1536 0.6763
La2 La 0.1619 0.8464 0.3237
La3 La 0.8457 0.7009 0.6915
La4 La 0.1543 0.2991 0.3085
La5 La 0.5000 0.5000 0.0000
Y1 Y 0.5000 0.0000 0.0000
```

=====

## LaPtI6 (GGA-PBE)

Data for an optimized crystal structure of LaPtI6.

- Calculated density: 5.658 g cm⁻³
- DOS(E_F): 2.93 states/eV per cell
- Space-group type: P-1, No. 2
- Uncorrected energy: -3.1993 eV/atom
- ΔE_f (raw): -0.666 eV/atom

Geometry as CIF:
```
data_LaPtI6
_space_group_name_H-M_alt 'P 1'
_space_group_IT_number 1
_cell_length_a 7.2824
_cell_length_b 7.6608
_cell_length_c 7.9181
_cell_angle_alpha 64.27
_cell_angle_beta 62.49
_cell_angle_gamma 57.98
loop_
_space_group_symop_operation_xyz
'x,y,z'
loop_
_atom_site_label
_atom_site_type_symbol
_atom_site_fract_x
_atom_site_fract_y
_atom_site_fract_z
I1 I 0.4018 0.7811 0.7658
I2 I 0.7795 0.0599 0.7706
I3 I 0.9250 0.6045 0.2414
I4 I 0.0750 0.3955 0.7586
I5 I 0.2205 0.9401 0.2294
I6 I 0.5982 0.2189 0.2342
La1 La 0.5000 0.5000 0.5000
Pt1 Pt 0.0000 0.0000 0.0000
```

=====

## La5Pm3Y (GGA-PBE)

Data for an optimized crystal structure of La5Pm3Y.

- Calculated density: 6.253 g cm⁻³
- DOS(E_F): 34.32 states/eV per cell
- Energy of formation from the pure elements: 268 meV per atom
- Space-group type: I4/mcm, No. 140
- Uncorrected energy: -4.7717 eV/atom

Geometry as CIF:
```
data_La5Pm3Y
_space_group_name_H-M_alt 'P 1'
_space_group_IT_number 1
_cell_length_a 9.0966
_cell_length_b 9.0966
_cell_length_c 10.1256
_cell_angle_alpha 116.69
_cell_angle_beta 116.69
_cell_angle_gamma 90.00
loop_
_space_group_symop_operation_xyz
'x,y,z'
loop_
_atom_site_label
_atom_site_type_symbol
_atom_site_fract_x
_atom_site_fract_y
_atom_site_fract_z
La1 La 0.3500 0.8500 0.2794
La2 La 0.6500 0.1500 0.7206
La3 La 0.5000 0.5000 0.0000
La4 La 0.0000 0.0000 0.0000
La5 La 0.4294 0.3500 0.2794
La6 La 0.0706 0.5706 0.7206
La7 La 0.8500 0.9294 0.2794
La8 La 0.5706 0.6500 0.7206
La9 La 0.1500 0.0706 0.7206
La10 La 0.9294 0.4294 0.2794
Pm1 Pm 0.3853 0.8853 0.0000
Pm2 Pm 0.6147 0.1147 0.0000
Pm3 Pm 0.8853 0.6147 0.0000
Pm4 Pm 0.1147 0.3853 0.0000
Pm5 Pm 0.7500 0.7500 0.5000
Pm6 Pm 0.2500 0.2500 0.5000
Y1 Y 0.7500 0.2500 0.5000
Y2 Y 0.2500 0.7500 0.5000
```

=====

Please write out number 3 again, unchanged.
## BaMgZr (GGA-PBE)

Data for an optimized crystal structure of BaMgZr.

- Calculated density: 4.449 g cm⁻³
- DOS(E_F): 8.21 states/eV per cell
- Energy of formation from the pure elements: 750 meV per atom
- Space-group type: P4/nmm, No. 129
- Offset from the most stable computed form: 519 meV per atom
- Uncorrected energy: -3.2715 eV/atom

Geometry as CIF:
```
data_BaMgZr
_space_group_name_H-M_alt 'P 1'
_space_group_IT_number 1
_cell_length_a 4.3678
_cell_length_b 4.3678
_cell_length_c 9.8936
_cell_angle_alpha 90.00
_cell_angle_beta 90.00
_cell_angle_gamma 90.00
loop_
_space_group_symop_operation_xyz
'x,y,z'
loop_
_atom_site_label
_atom_site_type_symbol
_atom_site_fract_x
_atom_site_fract_y
_atom_site_fract_z
Ba1 Ba 0.5000 0.5000 0.5000
Ba2 Ba 0.0000 0.0000 0.5000
Mg1 Mg 0.0000 0.5000 0.7884
Mg2 Mg 0.5000 0.0000 0.2116
Zr1 Zr 0.0000 0.5000 0.0767
Zr2 Zr 0.5000 0.0000 0.9233
```